Entry 1:
Below is a relaxed structure of LiMnCuP, with properties calculated at the GGA-PBE level.

Properties
E_tot in eV per atom: -5.39

abc: 3.581 3.581 8.596
angles: 90.00 90.00 90.00
Element x y z (fractional)
Li (0.250, 0.250, 0.242)
Li (0.750, 0.750, 0.758)
Mn (0.250, 0.750, 0.500)
Mn (0.750, 0.250, 0.500)
Cu (0.250, 0.750, 0.000)
Cu (0.750, 0.250, 0.000)
P (0.250, 0.250, 0.666)
P (0.750, 0.750, 0.334)

Entry 2:
Below is a relaxed structure of BaSbIr4, with properties calculated at the GGA-PBE level.

Properties
Uncorrected formation energy in kJ/mol of formula units: 128.9

abc: 5.492 5.492 5.492
angles: 60.00 60.00 60.00
Element x y z (fractional)
Ba (0.000, 0.000, 0.000)
Sb (0.250, 0.250, 0.250)
Ir (0.128, 0.624, 0.624)
Ir (0.624, 0.128, 0.624)
Ir (0.624, 0.624, 0.128)
Ir (0.624, 0.624, 0.624)

Entry 3:
Below is a relaxed structure of HfInAs2Os, with properties calculated at the GGA-PBE level.

Properties
E_tot in eV per atom: -5.82

abc: 4.722 4.722 5.274
angles: 90.00 90.00 90.00
Element x y z (fractional)
Hf (0.000, 0.000, 0.000)
In (0.500, 0.500, 0.000)
As (0.000, 0.500, 0.500)
As (0.500, 0.000, 0.500)
Os (0.500, 0.500, 0.500)

Entry 4:
Below is a relaxed structure of ZnHg3F8, with properties calculated at the GGA-PBE level.

Properties
Uncorrected formation energy in kJ/mol of formula units: -1837.5

abc: 5.511 5.511 5.511
angles: 90.00 90.00 90.00
Element x y z (fractional)
Zn (0.000, 0.000, 0.000)
Hg (0.000, 0.500, 0.500)
Hg (0.500, 0.000, 0.500)
Hg (0.500, 0.500, 0.000)
F (0.237, 0.237, 0.237)
F (0.237, 0.237, 0.763)
F (0.237, 0.763, 0.237)
F (0.237, 0.763, 0.763)
F (0.763, 0.237, 0.237)
F (0.763, 0.237, 0.763)
F (0.763, 0.763, 0.237)
F (0.763, 0.763, 0.763)

| no. | size of the total moment (μB/cell) |
| --- | --- |
| 1 | 3.5 |
| 2 | 0.0 |
| 3 | 0.5 |
| 4 | 0.0 |